--- one ---
Entry from Alexandria: an optimized crystal structure of PrNd3Er6 (PBE).

**Calculated volume**: 33.06 Å³/atom
**Total magnetization**: 0.001 μB/cell

abc: 6.9175 6.9175 6.9175
angles: 91.58 91.58 91.58
With the nearest neighbours (Å) after each atom.
Positions (direct):
Pr 0.0000 0.0000 0.0000  2 Nd 2.92-2.93, 3 Er 3.25
Nd 0.2513 0.2513 0.2513  1 Nd 2.90, 1 Pr 2.93
Nd 0.5000 0.5000 0.5000  2 Nd 2.90, 3 Er 3.24
Nd 0.7494 0.7494 0.7494  1 Nd 2.90, 1 Pr 2.92
Er 0.1715 0.8251 0.4981  3 Nd 3.24-3.49
Er 0.3259 0.6708 0.9980  1 Pr 3.25, 2 Nd 3.46-3.48
Er 0.4981 0.1715 0.8251  3 Nd 3.24-3.49
Er 0.6708 0.9980 0.3259  1 Pr 3.25, 2 Nd 3.46-3.48
Er 0.8251 0.4981 0.1715  3 Nd 3.24-3.49
Er 0.9980 0.3259 0.6708  1 Pr 3.25, 2 Nd 3.46-3.48

***

--- two ---
Entry from Alexandria: an optimized crystal structure of PrNd3Er6 (PBE).

**Calculated volume**: 33.57 Å³/atom
**Total magnetization**: 0.000 μB/cell

abc: 9.8782 9.8782 6.8935
angles: 90.00 90.00 93.42
With the nearest neighbours (Å) after each atom.
Positions (direct):
Pr 0.1916 0.8084 0.5000  4 Er 3.22-3.52, 1 Nd 3.24
Pr 0.8084 0.1916 0.0000  4 Er 3.22-3.52, 1 Nd 3.24
Nd 0.1699 0.2435 0.5347  5 Er 3.26-3.47, 2 Nd 3.61
Nd 0.2435 0.1699 0.0347  5 Er 3.26-3.47, 2 Nd 3.61
Nd 0.3988 0.6012 0.3144  1 Pr 3.24, 3 Er 3.34-3.41
Nd 0.6012 0.3988 0.8144  1 Pr 3.24, 3 Er 3.34-3.41
Nd 0.7565 0.8301 0.5347  5 Er 3.26-3.47, 2 Nd 3.61
Nd 0.8301 0.7565 0.0347  5 Er 3.26-3.47, 2 Nd 3.61
Er 0.0104 0.9896 0.7734  2 Pr 3.22-3.30, 4 Nd 3.32-3.35, 3 Er 3.32-3.46
Er 0.0526 0.4750 0.2104  5 Er 3.42-3.66, 2 Nd 3.45-3.64
Er 0.2121 0.7879 0.0085  6 Er 3.32-3.68, 2 Pr 3.40-3.52, 1 Nd 3.41
Er 0.2801 0.4883 0.8225  4 Er 3.14-3.49, 3 Nd 3.26-3.47
Er 0.4750 0.0526 0.7104  5 Er 3.42-3.66, 2 Nd 3.45-3.64
Er 0.4883 0.2801 0.3225  4 Er 3.14-3.49, 3 Nd 3.26-3.47
Er 0.5117 0.7199 0.8225  4 Er 3.14-3.49, 3 Nd 3.26-3.47
Er 0.5250 0.9474 0.2104  5 Er 3.42-3.66, 2 Nd 3.45-3.64
Er 0.7199 0.5117 0.3225  4 Er 3.14-3.49, 3 Nd 3.26-3.47
Er 0.7879 0.2121 0.5085  6 Er 3.32-3.68, 2 Pr 3.40-3.52, 1 Nd 3.41
Er 0.9474 0.5250 0.7104  5 Er 3.42-3.66, 2 Nd 3.45-3.64
Er 0.9896 0.0104 0.2734  2 Pr 3.22-3.30, 4 Nd 3.32-3.35, 3 Er 3.32-3.46

***

The data favor two; the next most stable structure lies 87 meV/atom above it.

***

--- one ---
Entry from Alexandria: an optimized crystal structure of PrNd7Er12 (PBE).

**Calculated volume**: 35.85 Å³/atom
**Total magnetization**: 0.001 μB/cell

abc: 9.7656 9.7656 9.7656
angles: 109.47 109.47 109.47
With the nearest neighbours (Å) after each atom.
Positions (direct):
Pr 0.0000 0.0000 0.0000  12 Er 4.00
Nd 0.0000 0.0000 0.5000  6 Er 2.82
Nd 0.0000 0.5000 0.0000  6 Er 2.82
Nd 0.0000 0.5000 0.5000  12 Er 3.97-3.99
Nd 0.5000 0.0000 0.0000  6 Er 2.82
Nd 0.5000 0.0000 0.5000  12 Er 3.97-3.99
Nd 0.5000 0.5000 0.0000  12 Er 3.97-3.99
Nd 0.5000 0.5000 0.5000  6 Er 2.82
Er 0.0000 0.2508 0.7492  2 Nd 2.82
Er 0.0000 0.7492 0.2508  2 Nd 2.82
Er 0.2508 0.0000 0.7492  2 Nd 2.82
Er 0.2508 0.2508 0.5017  2 Nd 2.82
Er 0.2508 0.5017 0.2508  2 Nd 2.82
Er 0.2508 0.7492 0.0000  2 Nd 2.82
Er 0.4983 0.7492 0.7492  2 Nd 2.82
Er 0.5017 0.2508 0.2508  2 Nd 2.82
Er 0.7492 0.0000 0.2508  2 Nd 2.82
Er 0.7492 0.2508 0.0000  2 Nd 2.82
Er 0.7492 0.4983 0.7492  2 Nd 2.82
Er 0.7492 0.7492 0.4983  2 Nd 2.82

***

--- two ---
Entry from Alexandria: an optimized crystal structure of PrNd7Er12 (PBE).

**Calculated volume**: 33.63 Å³/atom
**Total magnetization**: 0.000 μB/cell

abc: 8.7819 8.7819 8.7819
angles: 86.06 86.06 86.06
With the nearest neighbours (Å) after each atom.
Positions (direct):
Pr 0.0000 0.0000 0.0000  6 Er 3.47
Nd 0.0721 0.3979 0.1579  6 Er 3.42-3.82, 3 Nd 3.46-3.51
Nd 0.1579 0.0721 0.3979  6 Er 3.42-3.82, 3 Nd 3.46-3.51
Nd 0.3979 0.1579 0.0721  6 Er 3.42-3.82, 3 Nd 3.46-3.51
Nd 0.5000 0.5000 0.5000  6 Er 3.33
Nd 0.6021 0.8421 0.9279  6 Er 3.42-3.82, 3 Nd 3.46-3.51
Nd 0.8421 0.9279 0.6021  6 Er 3.42-3.82, 3 Nd 3.46-3.51
Nd 0.9279 0.6021 0.8421  6 Er 3.42-3.82, 3 Nd 3.46-3.51
Er 0.1328 0.6213 0.4962  5 Er 3.26-3.59, 2 Nd 3.33-3.42
Er 0.1475 0.2752 0.7392  4 Er 3.26-3.59, 1 Pr 3.47, 2 Nd 3.48-3.58
Er 0.2608 0.8525 0.7248  4 Er 3.26-3.59, 1 Pr 3.47, 2 Nd 3.48-3.58
Er 0.2752 0.7392 0.1475  4 Er 3.26-3.59, 1 Pr 3.47, 2 Nd 3.48-3.58
Er 0.3787 0.5038 0.8672  5 Er 3.26-3.59, 2 Nd 3.33-3.42
Er 0.4962 0.1328 0.6213  5 Er 3.26-3.59, 2 Nd 3.33-3.42
Er 0.5038 0.8672 0.3787  5 Er 3.26-3.59, 2 Nd 3.33-3.42
Er 0.6213 0.4962 0.1328  5 Er 3.26-3.59, 2 Nd 3.33-3.42
Er 0.7248 0.2608 0.8525  4 Er 3.26-3.59, 1 Pr 3.47, 2 Nd 3.48-3.58
Er 0.7392 0.1475 0.2752  4 Er 3.26-3.59, 1 Pr 3.47, 2 Nd 3.48-3.58
Er 0.8525 0.7248 0.2608  4 Er 3.26-3.59, 1 Pr 3.47, 2 Nd 3.48-3.58
Er 0.8672 0.3787 0.5038  5 Er 3.26-3.59, 2 Nd 3.33-3.42

***

The data favor two; the next most stable structure lies 409 meV/atom above it.

***

--- one ---
Entry from Alexandria: an optimized crystal structure of Pr6Nd8Er (PBE).

**Calculated volume**: 35.39 Å³/atom
**Total magnetization**: 0.000 μB/cell

abc: 8.4075 8.4075 8.4075
angles: 73.20 73.20 73.20
With the nearest neighbours (Å) after each atom.
Positions (direct):
Pr 0.1102 0.7817 0.5824  2 Nd 3.15-3.44, 1 Er 3.46, 2 Pr 3.47
Pr 0.2183 0.4176 0.8898  2 Nd 3.15-3.44, 1 Er 3.46, 2 Pr 3.47
Pr 0.4176 0.8898 0.2183  2 Nd 3.15-3.44, 1 Er 3.46, 2 Pr 3.47
Pr 0.5824 0.1102 0.7817  2 Nd 3.15-3.44, 1 Er 3.46, 2 Pr 3.47
Pr 0.7817 0.5824 0.1102  2 Nd 3.15-3.44, 1 Er 3.46, 2 Pr 3.47
Pr 0.8898 0.2183 0.4176  2 Nd 3.15-3.44, 1 Er 3.46, 2 Pr 3.47
Nd 0.0845 0.0845 0.0845  1 Nd 3.09, 3 Pr 3.15
Nd 0.1453 0.5723 0.2733  4 Pr 3.44-3.85, 4 Nd 3.74-3.81, 1 Er 3.80
Nd 0.2733 0.1453 0.5723  4 Pr 3.44-3.85, 4 Nd 3.74-3.81, 1 Er 3.80
Nd 0.4277 0.7267 0.8547  4 Pr 3.44-3.85, 4 Nd 3.74-3.81, 1 Er 3.80
Nd 0.5723 0.2733 0.1453  4 Pr 3.44-3.85, 4 Nd 3.74-3.81, 1 Er 3.80
Nd 0.7267 0.8547 0.4277  4 Pr 3.44-3.85, 4 Nd 3.74-3.81, 1 Er 3.80
Nd 0.8547 0.4277 0.7267  4 Pr 3.44-3.85, 4 Nd 3.74-3.81, 1 Er 3.80
Nd 0.9155 0.9155 0.9155  1 Nd 3.09, 3 Pr 3.15
Er 0.5000 0.5000 0.5000  6 Pr 3.46, 6 Nd 3.80

***

--- two ---
Entry from Alexandria: an optimized crystal structure of Pr6Nd8Er (PBE).

**Calculated volume**: 35.76 Å³/atom
**Total magnetization**: 0.000 μB/cell

abc: 8.9057 8.9057 8.9057
angles: 63.34 63.34 63.34
With the nearest neighbours (Å) after each atom.
Positions (direct):
Pr 0.0392 0.7383 0.5975  4 Nd 3.48-3.85, 1 Er 3.57, 4 Pr 3.65-3.88
Pr 0.2617 0.4025 0.9608  4 Nd 3.48-3.85, 1 Er 3.57, 4 Pr 3.65-3.88
Pr 0.4025 0.9608 0.2617  4 Nd 3.48-3.85, 1 Er 3.57, 4 Pr 3.65-3.88
Pr 0.5975 0.0392 0.7383  4 Nd 3.48-3.85, 1 Er 3.57, 4 Pr 3.65-3.88
Pr 0.7383 0.5975 0.0392  4 Nd 3.48-3.85, 1 Er 3.57, 4 Pr 3.65-3.88
Pr 0.9608 0.2617 0.4025  4 Nd 3.48-3.85, 1 Er 3.57, 4 Pr 3.65-3.88
Nd 0.0777 0.0777 0.0777  4 Nd 3.30-3.52, 3 Pr 3.49
Nd 0.2162 0.2520 0.6135  3 Pr 3.48-3.85, 5 Nd 3.52-3.56, 1 Er 3.61
Nd 0.2520 0.6135 0.2162  3 Pr 3.48-3.85, 5 Nd 3.52-3.56, 1 Er 3.61
Nd 0.3865 0.7838 0.7480  3 Pr 3.48-3.85, 5 Nd 3.52-3.56, 1 Er 3.61
Nd 0.6135 0.2162 0.2520  3 Pr 3.48-3.85, 5 Nd 3.52-3.56, 1 Er 3.61
Nd 0.7480 0.3865 0.7838  3 Pr 3.48-3.85, 5 Nd 3.52-3.56, 1 Er 3.61
Nd 0.7838 0.7480 0.3865  3 Pr 3.48-3.85, 5 Nd 3.52-3.56, 1 Er 3.61
Nd 0.9223 0.9223 0.9223  4 Nd 3.30-3.52, 3 Pr 3.49
Er 0.5000 0.5000 0.5000  6 Pr 3.57, 6 Nd 3.61

***

The data favor two; the next most stable structure lies 45 meV/atom above it.